Entry 1:
A plane-wave DFT calculation with PBE-GGA was carried out for a geometry-optimized TaSiIr structure.

Structure (POSCAR):
```
TaSiIr
1.0
6.5431 0.0000 0.0000
-3.2715 5.6665 0.0000
0.0000 0.0000 3.8267
Ta Si Ir
3 3 3
Direct
0.0000 0.5986 0.0000 Ta
0.4014 0.4014 0.0000 Ta
0.5986 0.0000 0.0000 Ta
0.0000 0.2647 0.5000 Si
0.2647 0.0000 0.5000 Si
0.7353 0.7353 0.5000 Si
0.0000 0.0000 0.0000 Ir
0.3333 0.6667 0.5000 Ir
0.6667 0.3333 0.5000 Ir
```

## Properties
Uncorrected energy, eV for the cell shown: -83.46



Entry 2:
A plane-wave DFT calculation with PBE-GGA was carried out for a geometry-optimized Na3LiPd2O6 structure.

Structure (POSCAR):
```
Na3LiPd2O6
1.0
2.6518 -4.5908 0.0000
2.6518 4.5908 0.0000
-1.7657 0.0000 5.2240
Na Li Pd O
3 1 2 6
Direct
0.0000 0.0000 0.0000 Na
0.3396 0.6604 0.0000 Na
0.6604 0.3396 0.0000 Na
0.5000 0.5000 0.5000 Li
0.1669 0.8331 0.5000 Pd
0.8331 0.1669 0.5000 Pd
0.0845 0.4309 0.2924 O
0.2240 0.2240 0.7064 O
0.4309 0.0845 0.2924 O
0.5691 0.9155 0.7076 O
0.7760 0.7760 0.2936 O
0.9155 0.5691 0.7076 O
```

## Properties
Uncorrected energy, eV for the cell shown: -59.66



Entry 3:
A plane-wave DFT calculation with PBE-GGA was carried out for a geometry-optimized TmAs2Au structure.

Structure (POSCAR):
```
TmAs2Au
1.0
4.0043 0.0000 0.0000
0.0000 4.0043 0.0000
0.0000 0.0000 9.9626
Tm As Au
2 4 2
Direct
0.2500 0.2500 0.2303 Tm
0.7500 0.7500 0.7697 Tm
0.2500 0.2500 0.7013 As
0.2500 0.7500 0.0000 As
0.7500 0.2500 0.0000 As
0.7500 0.7500 0.2987 As
0.2500 0.7500 0.5000 Au
0.7500 0.2500 0.5000 Au
```

## Properties
Uncorrected energy, eV for the cell shown: -39.69